Record 1
The following is a DFT calculation (GGA-PBE) of an optimized crystal structure of DyTmS.

a b c (Å): 3.738 3.738 6.254
angles (deg): 90.00 90.00 120.00
Positions (direct):
Dy: 0.000 0.000 0.000
Tm: 0.333 0.667 0.533
S: 0.667 0.333 0.271

Values from the calculation:
Formation energy from raw total energies (eV/atom): -1.27
Space-group type: P3m1 (156)

=====

Record 2
The following is a DFT calculation (GGA-PBE) of an optimized crystal structure of Rb5Zr4F21.

a b c (Å): 8.019 11.437 11.759
angles (deg): 90.00 98.34 90.00
Positions (direct):
Rb: 0.026 0.000 0.241
Rb: 0.163 0.336 0.401
Rb: 0.198 0.152 0.955
Rb: 0.283 0.490 0.108
Rb: 0.324 0.037 0.609
Rb: 0.676 0.537 0.391
Rb: 0.717 0.990 0.892
Rb: 0.802 0.652 0.045
Rb: 0.837 0.836 0.599
Rb: 0.974 0.500 0.759
Zr: 0.170 0.709 0.407
Zr: 0.216 0.813 0.909
Zr: 0.466 0.355 0.775
Zr: 0.500 0.174 0.271
Zr: 0.500 0.674 0.729
Zr: 0.534 0.855 0.225
Zr: 0.784 0.313 0.091
Zr: 0.830 0.209 0.593
F: 0.001 0.722 0.264
F: 0.004 0.625 0.490
F: 0.053 0.890 0.007
F: 0.055 0.910 0.794
F: 0.104 0.867 0.466
F: 0.109 0.656 0.941
F: 0.234 0.738 0.742
F: 0.267 0.222 0.187
F: 0.277 0.567 0.344
F: 0.299 0.381 0.884
F: 0.327 0.818 0.319
F: 0.335 0.312 0.622
F: 0.342 0.519 0.705
F: 0.345 0.804 0.083
F: 0.349 0.110 0.381
F: 0.355 0.692 0.549
F: 0.378 0.946 0.900
F: 0.386 0.009 0.178
F: 0.433 0.181 0.798
F: 0.450 0.704 0.903
F: 0.483 0.345 0.312
F: 0.517 0.845 0.688
F: 0.550 0.204 0.097
F: 0.567 0.681 0.202
F: 0.614 0.509 0.822
F: 0.622 0.446 0.100
F: 0.645 0.192 0.451
F: 0.651 0.610 0.619
F: 0.655 0.304 0.917
F: 0.658 0.019 0.295
F: 0.665 0.812 0.378
F: 0.673 0.318 0.681
F: 0.701 0.881 0.116
F: 0.723 0.067 0.656
F: 0.733 0.722 0.813
F: 0.766 0.238 0.258
F: 0.891 0.156 0.059
F: 0.896 0.367 0.534
F: 0.945 0.410 0.206
F: 0.947 0.390 0.993
F: 0.996 0.125 0.510
F: 0.999 0.222 0.736

Values from the calculation:
Formation energy from raw total energies (eV/atom): -3.48
Space-group type: P2_1 (4)

=====

Record 3
The following is a DFT calculation (GGA-PBE) of an optimized crystal structure of ScAgBi2.

a b c (Å): 5.252 5.252 5.252
angles (deg): 60.00 60.00 60.00
Positions (direct):
Sc: 0.000 0.000 0.000
Ag: 0.500 0.500 0.500
Bi: 0.250 0.250 0.250
Bi: 0.750 0.750 0.750

Values from the calculation:
Space-group type: Fm-3m (225)

=====

Record 4
The following is a DFT calculation (GGA-PBE) of an optimized crystal structure of Zn3GeN.

a b c (Å): 4.816 4.816 4.816
angles (deg): 90.00 90.00 90.00
Positions (direct):
Zn: 0.000 0.000 0.500
Zn: 0.000 0.500 0.000
Zn: 0.500 0.000 0.000
Ge: 0.000 0.000 0.000
N: 0.500 0.500 0.500

Values from the calculation:
Formation energy from raw total energies (eV/atom): 1.29
ΔE to the lowest computed polymorph (eV per atom): 0.876
Space-group type: Pm-3m (221)

=====

Record 5
The following is a DFT calculation (GGA-PBE) of an optimized crystal structure of MgNb2P.

a b c (Å): 10.125 10.125 10.125
angles (deg): 158.02 158.02 31.29
Positions (direct):
Mg: 0.000 0.000 0.000
Mg: 0.750 0.250 0.500
Nb: 0.138 0.625 0.013
Nb: 0.375 0.388 0.513
Nb: 0.612 0.125 0.987
Nb: 0.875 0.862 0.487
P: 0.250 0.750 0.500
P: 0.500 0.500 0.000

Values from the calculation:
ΔE to the lowest computed polymorph (eV per atom): 0.015
Space-group type: I-42d (122)

=====

Record 6
The following is a DFT calculation (GGA-PBE) of an optimized crystal structure of HfSbSeBr2.

a b c (Å): 5.494 5.494 5.520
angles (deg): 90.00 90.00 90.00
Positions (direct):
Hf: 0.000 0.000 0.000
Sb: 0.500 0.500 0.500
Se: 0.500 0.500 0.000
Br: 0.000 0.500 0.500
Br: 0.500 0.000 0.500

Values from the calculation:
Formation energy from raw total energies (eV/atom): 0.64
ΔE to the lowest computed polymorph (eV per atom): 0.925
Space-group type: P4/mmm (123)

=====

Record 7
The following is a DFT calculation (GGA-PBE) of an optimized crystal structure of YFe2W2.

a b c (Å): 5.801 5.801 5.801
angles (deg): 137.58 137.58 61.54
Positions (direct):
Y: 0.000 0.000 0.000
Fe: 0.250 0.750 0.500
Fe: 0.750 0.250 0.500
W: 0.366 0.366 0.000
W: 0.634 0.634 0.000

Values from the calculation:
ΔE to the lowest computed polymorph (eV per atom): 0.273
Space-group type: I4/mmm (139)

=====

Record 8
The following is a DFT calculation (GGA-PBE) of an optimized crystal structure of TbTh2Bi2As2.

a b c (Å): 8.831 8.831 8.831
angles (deg): 145.28 145.28 49.92
Positions (direct):
Tb: 0.000 0.000 0.000
Th: 0.392 0.392 0.000
Th: 0.608 0.608 0.000
Bi: 0.196 0.196 0.000
Bi: 0.804 0.804 0.000
As: 0.000 0.500 0.500
As: 0.500 0.000 0.500

Values from the calculation:
Space-group type: I4/mmm (139)

=====

Record 9
The following is a DFT calculation (GGA-PBE) of an optimized crystal structure of NaDyH2S2O9.

a b c (Å): 6.910 6.910 12.830
angles (deg): 90.00 90.00 120.00
Positions (direct):
Na: 0.000 0.476 0.167
Na: 0.476 0.000 0.833
Na: 0.524 0.524 0.500
Dy: 0.000 0.437 0.667
Dy: 0.437 0.000 0.333
Dy: 0.563 0.563 0.000
H: 0.041 0.949 0.043
H: 0.051 0.093 0.376
H: 0.093 0.051 0.624
H: 0.907 0.959 0.710
H: 0.949 0.041 0.957
H: 0.959 0.907 0.290
S: 0.016 0.459 0.906
S: 0.443 0.984 0.573
S: 0.459 0.016 0.094
S: 0.541 0.557 0.239
S: 0.557 0.541 0.761
S: 0.984 0.443 0.427
O: 0.000 0.089 0.667
O: 0.089 0.000 0.333
O: 0.123 0.384 0.496
O: 0.126 0.621 0.352
O: 0.133 0.650 0.832
O: 0.175 0.418 0.967
O: 0.243 0.825 0.633
O: 0.261 0.877 0.163
O: 0.350 0.483 0.166
O: 0.379 0.505 0.686
O: 0.384 0.123 0.504
O: 0.418 0.175 0.033
O: 0.483 0.350 0.834
O: 0.495 0.874 0.019
O: 0.505 0.379 0.314
O: 0.517 0.867 0.499
O: 0.582 0.757 0.300
O: 0.616 0.739 0.829
O: 0.621 0.126 0.648
O: 0.650 0.133 0.168
O: 0.739 0.616 0.171
O: 0.757 0.582 0.700
O: 0.825 0.243 0.367
O: 0.867 0.517 0.501
O: 0.874 0.495 0.981
O: 0.877 0.261 0.837
O: 0.911 0.911 0.000

Values from the calculation:
Space-group type: P3_121 (152)

=====

Record 10
The following is a DFT calculation (GGA-PBE) of an optimized crystal structure of Li3NdBi3.

a b c (Å): 7.594 7.594 7.594
angles (deg): 74.64 74.64 74.64
Positions (direct):
Li: 0.171 0.428 0.666
Li: 0.334 0.829 0.572
Li: 0.428 0.666 0.171
Li: 0.572 0.334 0.829
Li: 0.666 0.171 0.428
Li: 0.829 0.572 0.334
Nd: 0.212 0.212 0.212
Nd: 0.788 0.788 0.788
Bi: 0.043 0.833 0.372
Bi: 0.167 0.628 0.957
Bi: 0.372 0.043 0.833
Bi: 0.628 0.957 0.167
Bi: 0.833 0.372 0.043
Bi: 0.957 0.167 0.628

Values from the calculation:
ΔE to the lowest computed polymorph (eV per atom): 0.000
Space-group type: R-3 (148)

=====

Record 11
The following is a DFT calculation (GGA-PBE) of an optimized crystal structure of Ac2MgPd2.

a b c (Å): 8.035 8.035 4.250
angles (deg): 90.00 90.00 90.00
Positions (direct):
Ac: 0.172 0.328 0.000
Ac: 0.328 0.828 0.000
Ac: 0.672 0.172 0.000
Ac: 0.828 0.672 0.000
Mg: 0.000 0.000 0.500
Mg: 0.500 0.500 0.500
Pd: 0.130 0.630 0.500
Pd: 0.370 0.130 0.500
Pd: 0.630 0.870 0.500
Pd: 0.870 0.370 0.500

Values from the calculation:
Space-group type: P4/mbm (127)

=====

Record 12
The following is a DFT calculation (GGA-PBE) of an optimized crystal structure of TiMn3Co.

a b c (Å): 4.145 4.145 4.145
angles (deg): 90.00 90.00 90.00
Positions (direct):
Ti: 0.000 0.000 0.000
Mn: 0.000 0.500 0.500
Mn: 0.500 0.000 0.500
Mn: 0.500 0.500 0.000
Co: 0.500 0.500 0.500

Values from the calculation:
ΔE to the lowest computed polymorph (eV per atom): 0.000
Space-group type: Pm-3m (221)

=====

no.,VASP energy (eV per cell),density (Mg/m³)
1,-17.01,7.977
2,-365.26,3.707
3,-17.30,9.254
4,-10.30,4.206
5,-52.65,5.510
6,-17.72,5.371
7,-47.61,10.744
8,-40.81,8.893
9,-280.28,3.715
10,-49.75,6.606
11,-47.43,8.365
12,-37.20,6.334